The following is a PBE calculation of a relaxed SmTl2SbSe4 crystal, from the Alexandria database.

V (Å³ per cell): 956
Uncorrected formation energy (eV/f.u.): -6.75

Cell and atoms, written as CIF:
```
data_SmTl2SbSe4
_chemical_formula_sum 'Sm4 Tl8 Sb4 Se16'
_space_group_name_H-M_alt 'I m m a'
_space_group_IT_number 74
_space_group_name_Hall '-I 2b 2'
_cell_length_a 8.7332
_cell_length_b 8.8126
_cell_length_c 12.4273
_cell_angle_alpha 90.00
_cell_angle_beta 90.00
_cell_angle_gamma 90.00
loop_
_atom_site_label
_atom_site_type_symbol
_atom_site_fract_x
_atom_site_fract_y
_atom_site_fract_z
Sm1 Sm 0.2500 0.2500 0.2500
Tl1 Tl 0.0000 0.0000 0.0000
Tl2 Tl 0.2500 0.2500 0.7500
Sb1 Sb 0.0000 0.0000 0.5000
Se1 Se 0.0000 0.0248 0.2645
Se2 Se 0.2244 0.2500 0.4882
```



The following is a PBE calculation of a relaxed Sm3Tl3SbSe8 crystal, from the Alexandria database.

V (Å³ per cell): 1447
Uncorrected formation energy (eV/f.u.): -16.79

Cell and atoms, written as CIF:
```
data_Sm3Tl3SbSe8
_chemical_formula_sum 'Sm9 Tl9 Sb3 Se24'
_space_group_name_H-M_alt 'R -3 m'
_space_group_IT_number 166
_space_group_name_Hall '-R 3 2"'
_cell_length_a 8.4603
_cell_length_b 8.4603
_cell_length_c 23.3408
_cell_angle_alpha 90.00
_cell_angle_beta 90.00
_cell_angle_gamma 120.00
loop_
_atom_site_label
_atom_site_type_symbol
_atom_site_fract_x
_atom_site_fract_y
_atom_site_fract_z
Sm1 Sm 0.0000 0.5000 0.0000
Tl1 Tl 0.0000 0.5000 0.5000
Sb1 Sb 0.0000 0.0000 0.0000
Se1 Se 0.0000 0.0000 0.2633
Se2 Se 0.0106 0.5053 0.7342
```